Sc2Al2Sn: optimized geometry, PBE.

Calculated values
* E above lowest polymorph: 0.2718 eV/atom
* volume: 217.4 Å³ per cell
* formation enthalpy at 0 K: -151 meV per atom

Unit cell a=7.971 b=7.971 c=3.422 alpha=90.00 beta=90.00 gamma=90.00
Space group P4/mbm (No. 127)
Asymmetric unit:
Sc 0.134 0.366 0.000 [4 per cell]
Al 0.171 0.671 0.500 [4 per cell]
Sn 0.000 0.000 0.000 [2 per cell]